Entry 1:
The following is a PBE calculation of a relaxed Tl3FeC crystal, from Alexandria.

a b c (Å): 5.1142 5.1142 5.1142
angles (deg): 90.00 90.00 90.00
Fractional coordinates of all 5 atoms:
C1 0.5000 0.5000 0.5000
Tl1 0.0000 0.5000 0.0000
Tl2 0.0000 0.0000 0.5000
Tl3 0.5000 0.0000 0.0000
Fe1 0.0000 0.0000 0.0000

calculated formation energy	728	kJ/mol of formula units
calculated total energy	-17.24	eV per cell
SG	Pm-3m
Fermi-level density of states	3.578	states/eV per cell
distance to the lowest polymorph of the same formula	48	meV per atom

***

Entry 2:
The following is a PBE calculation of a relaxed Ce2Pm2Pt3 crystal, from Alexandria.

a b c (Å): 7.7210 7.3114 7.6481
angles (deg): 90.00 65.30 90.00
Fractional coordinates of all 14 atoms:
Ce1 0.6567 0.3288 0.6224
Ce2 0.8433 0.8288 0.3776
Ce3 0.1567 0.1712 0.6224
Ce4 0.3433 0.6712 0.3776
Pm1 0.8953 0.6580 0.8697
Pm2 0.3953 0.8420 0.8697
Pm3 0.6047 0.1580 0.1303
Pm4 0.1047 0.3420 0.1303
Pt1 0.5000 0.5000 0.0000
Pt2 0.0000 0.0000 0.0000
Pt3 0.7834 0.0009 0.7408
Pt4 0.7166 0.5009 0.2592
Pt5 0.2834 0.4991 0.7408
Pt6 0.2166 0.9991 0.2592

calculated formation energy	-587	kJ/mol of formula units
calculated total energy	-91.15	eV per cell
SG	P2_1/c
Fermi-level density of states	29.933	states/eV per cell

***

Entry 3:
The following is a PBE calculation of a relaxed TlCoS2 crystal, from Alexandria.

a b c (Å): 3.4639 3.4640 7.3125
angles (deg): 89.98 89.99 60.01
Fractional coordinates of all 4 atoms:
Tl1 0.6738 0.1064 0.9198
Co1 0.6735 0.1066 0.4198
S1 0.3401 0.7732 0.5707
S2 0.0069 0.4401 0.2690

calculated total energy	-19.04	eV per cell
formation energy from raw total energies	-0.33	eV per atom
SG	P-3m1
Fermi-level density of states	1.582	states/eV per cell

***

Entry 4:
The following is a PBE calculation of a relaxed NaTi2AlRu crystal, from Alexandria.

a b c (Å): 4.7670 4.5941 4.7670
angles (deg): 90.00 90.00 90.00
Fractional coordinates of all 5 atoms:
Ru1 0.5000 0.5000 0.5000
Na1 0.0000 0.5000 0.0000
Al1 0.0000 0.0000 0.0000
Ti1 0.0000 0.0000 0.5000
Ti2 0.5000 0.0000 0.0000

calculated formation energy	666	kJ/mol of formula units
calculated total energy	-23.23	eV per cell
SG	P4/mmm
Fermi-level density of states	8.306	states/eV per cell

***

Entry 5:
The following is a PBE calculation of a relaxed Cs2NdHoO4 crystal, from Alexandria.

a b c (Å): 3.6247 6.2776 7.2262
angles (deg): 106.76 90.00 90.00
Fractional coordinates of all 8 atoms:
Cs1 0.5000 0.0000 0.5000
Cs2 0.0000 0.5000 0.5000
Nd1 0.5000 0.5000 0.0000
Ho1 0.0000 0.0000 0.0000
O1 0.5000 0.2123 0.1660
O2 0.5000 0.7877 0.8340
O3 0.0000 0.2670 0.8331
O4 0.0000 0.7330 0.1669

calculated total energy	-51.38	eV per cell
formation energy from raw total energies	-2.56	eV per atom
SG	P2/m
Fermi-level density of states	0.000	states/eV per cell

***

Entry 6:
The following is a PBE calculation of a relaxed KMnRe2 crystal, from Alexandria.

a b c (Å): 5.7732 5.7732 2.5725
angles (deg): 90.00 90.00 124.90
Fractional coordinates of all 4 atoms:
K1 0.5000 0.0000 0.5000
Mn1 0.0000 0.5000 0.5000
Re1 0.0000 0.0000 0.0000
Re2 0.5000 0.5000 0.0000

calculated formation energy	529	kJ/mol of formula units
calculated total energy	-29.68	eV per cell
SG	Cmmm
Fermi-level density of states	3.201	states/eV per cell
distance to the lowest polymorph of the same formula	606	meV per atom

***

Entry 7:
The following is a PBE calculation of a relaxed Cd2TcMo crystal, from Alexandria.

a b c (Å): 9.9387 9.9387 9.9387
angles (deg): 16.62 16.62 16.62
Fractional coordinates of all 4 atoms:
Cd1 0.0014 0.0014 0.0014
Cd2 0.4986 0.4986 0.4986
Mo1 0.2500 0.2500 0.2500
Tc1 0.7500 0.7500 0.7500

calculated formation energy	216	kJ/mol of formula units
calculated total energy	-20.79	eV per cell
SG	R-3m
Fermi-level density of states	4.845	states/eV per cell
distance to the lowest polymorph of the same formula	373	meV per atom

***

Entry 8:
The following is a PBE calculation of a relaxed PuMgCdBi crystal, from Alexandria.

a b c (Å): 4.3581 4.7211 5.1134
angles (deg): 90.00 90.00 90.00
Fractional coordinates of all 4 atoms:
Pu1 0.5000 0.0000 0.5000
Mg1 0.5000 0.5000 0.0000
Cd1 0.0000 0.0000 0.0000
Bi1 0.0000 0.5000 0.5000

calculated formation energy	-82	kJ/mol of formula units
calculated total energy	-21.57	eV per cell
SG	Pmmm
Fermi-level density of states	11.258	states/eV per cell
distance to the lowest polymorph of the same formula	0	meV per atom

***

Entry 9:
The following is a PBE calculation of a relaxed Er3ScBi4 crystal, from Alexandria.

a b c (Å): 6.2313 6.2313 6.2313
angles (deg): 90.00 90.00 90.00
Fractional coordinates of all 8 atoms:
Sc1 0.0000 0.0000 0.0000
Bi1 0.5000 0.0000 0.0000
Bi2 0.0000 0.5000 0.0000
Bi3 0.0000 0.0000 0.5000
Bi4 0.5000 0.5000 0.5000
Er1 0.0000 0.5000 0.5000
Er2 0.5000 0.0000 0.5000
Er3 0.5000 0.5000 0.0000

calculated formation energy	-592	kJ/mol of formula units
calculated total energy	-41.68	eV per cell
SG	Pm-3m
Fermi-level density of states	0.433	states/eV per cell

***

Entry 10:
The following is a PBE calculation of a relaxed Sc2CrFe crystal, from Alexandria.

a b c (Å): 9.2402 9.2402 9.2402
angles (deg): 18.19 18.19 18.19
Fractional coordinates of all 4 atoms:
Sc1 0.9065 0.9065 0.9065
Sc2 0.0935 0.0935 0.0935
Cr1 0.0000 0.0000 0.0000
Fe1 0.5000 0.5000 0.5000

calculated formation energy	261	kJ/mol of formula units
calculated total energy	-28.05	eV per cell
SG	R-3m
Fermi-level density of states	7.595	states/eV per cell
distance to the lowest polymorph of the same formula	603	meV per atom

***

Entry 11:
The following is a PBE calculation of a relaxed LiCuPO4 crystal, from Alexandria.

a b c (Å): 5.7604 6.3820 10.2329
angles (deg): 90.00 90.00 90.00
Fractional coordinates of all 28 atoms:
Li1 0.3629 0.8761 0.9949
Li2 0.8629 0.3761 0.5051
Li3 0.1371 0.8761 0.4949
Li4 0.6371 0.3761 0.0051
Cu1 0.8997 0.9348 0.1173
Cu2 0.3997 0.4348 0.3827
Cu3 0.6003 0.9348 0.6173
Cu4 0.1003 0.4348 0.8827
P1 0.1706 0.5510 0.1239
P2 0.6706 0.0510 0.3761
P3 0.3294 0.5510 0.6239
P4 0.8294 0.0510 0.8761
O1 0.3517 0.5449 0.0058
O2 0.9394 0.4967 0.0503
O3 0.7244 0.8871 0.2717
O4 0.6725 0.2783 0.3230
O5 0.1725 0.7783 0.1770
O6 0.2244 0.3871 0.2283
O7 0.4394 0.9967 0.4497
O8 0.8517 0.0449 0.4942
O9 0.1483 0.5449 0.5058
O10 0.5606 0.4967 0.5503
O11 0.7756 0.8871 0.7717
O12 0.8275 0.2783 0.8230
O13 0.3275 0.7783 0.6770
O14 0.2756 0.3871 0.7283
O15 0.0606 0.9967 0.9497
O16 0.6483 0.0449 0.9942

calculated total energy	-174.40	eV per cell
formation energy from raw total energies	-1.76	eV per atom
SG	Pna2_1
Fermi-level density of states	0.084	states/eV per cell
distance to the lowest polymorph of the same formula	42	meV per atom

***

Entry 12:
The following is a PBE calculation of a relaxed Li2CdSbS4 crystal, from Alexandria.

a b c (Å): 7.6079 7.6079 7.6288
angles (deg): 120.09 120.09 90.50
Fractional coordinates of all 16 atoms:
Li1 0.5000 0.0000 0.0000
Li2 0.5000 0.0000 0.5000
Li3 0.0000 0.0000 0.5000
Li4 0.5000 0.5000 0.0000
Cd1 0.0000 0.5000 0.0000
Cd2 0.0000 0.5000 0.5000
Sb1 0.5000 0.5000 0.5000
Sb2 0.0000 0.0000 0.0000
S1 0.2456 0.7599 0.0026
S2 0.7401 0.2544 0.4974
S3 0.2599 0.7456 0.5026
S4 0.7544 0.2401 0.9974
S5 0.7422 0.7577 0.0000
S6 0.7423 0.7578 0.5000
S7 0.2577 0.2422 0.5000
S8 0.2578 0.2423 0.0000

calculated total energy	-61.55	eV per cell
formation energy from raw total energies	-0.67	eV per atom
SG	Imma
Fermi-level density of states	3.977	states/eV per cell

***

Entry 13:
The following is a PBE calculation of a relaxed SrMgRe2 crystal, from Alexandria.

a b c (Å): 3.9703 3.9703 4.9106
angles (deg): 90.00 90.00 90.00
Fractional coordinates of all 4 atoms:
Mg1 0.0000 0.5000 0.5000
Re1 0.0000 0.0000 0.0000
Re2 0.5000 0.5000 0.0000
Sr1 0.5000 0.0000 0.5000

calculated formation energy	397	kJ/mol of formula units
calculated total energy	-24.06	eV per cell
SG	P4/mmm
Fermi-level density of states	3.348	states/eV per cell

***

Entry 14:
The following is a PBE calculation of a relaxed La2NbCrN5 crystal, from Alexandria.

a b c (Å): 3.3337 7.3847 10.4120
angles (deg): 90.00 90.00 103.04
Fractional coordinates of all 18 atoms:
La1 0.8667 0.7334 0.8184
La2 0.1186 0.2371 0.6888
La3 0.1333 0.2666 0.3184
La4 0.8814 0.7629 0.1888
Nb1 0.7925 0.5849 0.5227
Nb2 0.2075 0.4151 0.0227
Cr1 0.5503 0.1006 0.9426
Cr2 0.4497 0.8994 0.4426
N1 0.3397 0.6794 0.0055
N2 0.6760 0.3521 0.8830
N3 0.4991 0.9983 0.7902
N4 0.2962 0.5925 0.6556
N5 0.9622 0.9243 0.5171
N6 0.6603 0.3206 0.5055
N7 0.3240 0.6479 0.3830
N8 0.5009 0.0017 0.2902
N9 0.7038 0.4075 0.1556
N10 0.0378 0.0757 0.0171

calculated total energy	-161.52	eV per cell
formation energy from raw total energies	-1.07	eV per atom
SG	Cmc2_1
Fermi-level density of states	4.826	states/eV per cell

***

Entry 15:
The following is a PBE calculation of a relaxed Ba3Sn2As4 crystal, from Alexandria.

a b c (Å): 8.5626 9.0811 9.3559
angles (deg): 119.03 91.70 90.00
Fractional coordinates of all 18 atoms:
Ba1 0.1304 0.7836 0.7435
Ba2 0.3696 0.0401 0.2565
Ba3 0.8696 0.2164 0.2565
Ba4 0.6304 0.9599 0.7435
Ba5 0.7500 0.5139 0.0000
Ba6 0.2500 0.4861 0.0000
Sn1 0.5140 0.5398 0.3662
Sn2 0.9860 0.1737 0.6338
Sn3 0.4860 0.4602 0.6338
Sn4 0.0140 0.8263 0.3662
As1 0.4897 0.7328 0.9126
As2 0.0103 0.8202 0.0874
As3 0.5103 0.2672 0.0874
As4 0.9897 0.1798 0.9126
As5 0.8272 0.6373 0.4401
As6 0.6728 0.1972 0.5599
As7 0.1728 0.3627 0.5599
As8 0.3272 0.8028 0.4401

calculated formation energy	-648	kJ/mol of formula units
calculated total energy	-78.17	eV per cell
SG	C2/c
Fermi-level density of states	2.666	states/eV per cell
distance to the lowest polymorph of the same formula	79	meV per atom

***

Entry 16:
The following is a PBE calculation of a relaxed PmErCdSi crystal, from Alexandria.

a b c (Å): 5.1459 5.1459 5.1459
angles (deg): 60.00 60.00 60.00
Fractional coordinates of all 4 atoms:
Cd1 0.2500 0.2500 0.2500
Si1 0.7500 0.7500 0.7500
Pm1 0.0000 0.0000 0.0000
Er1 0.5000 0.5000 0.5000

calculated total energy	-17.16	eV per cell
formation energy from raw total energies	-0.38	eV per atom
SG	F-43m
Fermi-level density of states	2.552	states/eV per cell

***

Entry 17:
The following is a PBE calculation of a relaxed TbGdAlOs crystal, from Alexandria.

a b c (Å): 4.9738 4.9738 4.9738
angles (deg): 60.00 60.00 60.00
Fractional coordinates of all 4 atoms:
Tb1 0.2500 0.2500 0.2500
Gd1 0.7500 0.7500 0.7500
Os1 0.0000 0.0000 0.0000
Al1 0.5000 0.5000 0.5000

calculated formation energy	-89	kJ/mol of formula units
calculated total energy	-34.60	eV per cell
SG	F-43m
Fermi-level density of states	1.716	states/eV per cell

***

Entry 18:
The following is a PBE calculation of a relaxed Hf3P2C crystal, from Alexandria.

a b c (Å): 6.1171 6.2105 6.2105
angles (deg): 118.85 99.75 99.75
Fractional coordinates of all 12 atoms:
Hf1 0.9976 0.2164 0.3625
Hf2 0.4976 0.3625 0.2164
Hf3 0.0000 0.5000 0.0000
Hf4 0.0024 0.7836 0.6375
Hf5 0.5000 0.0000 0.5000
Hf6 0.5024 0.6375 0.7836
P1 0.2500 0.9190 0.0810
P2 0.2500 0.2413 0.7587
P3 0.7500 0.0810 0.9190
P4 0.7500 0.7587 0.2413
C1 0.2500 0.5809 0.4191
C2 0.7500 0.4191 0.5809

calculated formation energy	-608	kJ/mol of formula units
calculated total energy	-112.41	eV per cell
SG	C2/c
Fermi-level density of states	3.614	states/eV per cell
distance to the lowest polymorph of the same formula	41	meV per atom

***

Entry 19:
The following is a PBE calculation of a relaxed Zn2HgW crystal, from Alexandria.

a b c (Å): 9.6006 9.6006 9.6006
angles (deg): 17.44 17.44 17.44
Fractional coordinates of all 4 atoms:
Hg1 0.2500 0.2500 0.2500
W1 0.7500 0.7500 0.7500
Zn1 0.0070 0.0070 0.0070
Zn2 0.4930 0.4930 0.4930

calculated formation energy	128	kJ/mol of formula units
calculated total energy	-14.48	eV per cell
SG	R-3m
Fermi-level density of states	1.934	states/eV per cell

***

Entry 20:
The following is a PBE calculation of a relaxed La15Dy2Tl2 crystal, from Alexandria.

a b c (Å): 8.9015 8.9015 8.9015
angles (deg): 76.83 76.83 76.83
Fractional coordinates of all 19 atoms:
La1 0.0000 0.5000 0.0000
La2 0.0000 0.0000 0.5000
La3 0.5000 0.0000 0.0000
La4 0.2906 0.0000 0.7094
La5 0.7094 0.2906 0.0000
La6 0.0000 0.7094 0.2906
La7 0.2906 0.7094 0.0000
La8 0.0000 0.2906 0.7094
La9 0.7094 0.0000 0.2906
La10 0.3984 0.8226 0.3984
La11 0.3984 0.3984 0.8226
La12 0.8226 0.3984 0.3984
La13 0.6016 0.1774 0.6016
La14 0.6016 0.6016 0.1774
La15 0.1774 0.6016 0.6016
Dy1 0.7040 0.7040 0.7040
Dy2 0.2960 0.2960 0.2960
Tl1 0.9009 0.9009 0.9009
Tl2 0.0991 0.0991 0.0991

calculated formation energy	193	kJ/mol of formula units
calculated total energy	-85.85	eV per cell
SG	R-3m
Fermi-level density of states	22.980	states/eV per cell

***

Entry 21:
The following is a PBE calculation of a relaxed PrDyZnTc crystal, from Alexandria.

a b c (Å): 5.0277 5.0277 5.0277
angles (deg): 60.00 60.00 60.00
Fractional coordinates of all 4 atoms:
Pr1 0.2500 0.2500 0.2500
Zn1 0.0000 0.0000 0.0000
Tc1 0.5000 0.5000 0.5000
Dy1 0.7500 0.7500 0.7500

calculated formation energy	-21	kJ/mol of formula units
calculated total energy	-21.24	eV per cell
SG	F-43m
Fermi-level density of states	1.697	states/eV per cell

***

Entry 22:
The following is a PBE calculation of a relaxed Pm2AgP3Rh12 crystal, from Alexandria.

a b c (Å): 6.7277 6.7277 6.7277
angles (deg): 83.36 83.36 83.36
Fractional coordinates of all 18 atoms:
Pm1 0.6245 0.6245 0.6245
Pm2 0.3755 0.3755 0.3755
Ag1 0.0000 0.0000 0.0000
P1 0.5000 0.0000 0.0000
P2 0.0000 0.5000 0.0000
P3 0.0000 0.0000 0.5000
Rh1 0.3651 0.3651 0.9100
Rh2 0.8261 0.8261 0.3347
Rh3 0.3347 0.8261 0.8261
Rh4 0.9100 0.3651 0.3651
Rh5 0.8261 0.3347 0.8261
Rh6 0.3651 0.9100 0.3651
Rh7 0.6349 0.6349 0.0900
Rh8 0.1739 0.1739 0.6653
Rh9 0.6653 0.1739 0.1739
Rh10 0.0900 0.6349 0.6349
Rh11 0.1739 0.6653 0.1739
Rh12 0.6349 0.0900 0.6349

calculated formation energy	-277	kJ/mol of formula units
calculated total energy	-119.67	eV per cell
SG	R-3m
Fermi-level density of states	18.411	states/eV per cell

***

Entry 23:
The following is a PBE calculation of a relaxed TaReCl crystal, from Alexandria.

a b c (Å): 2.8809 2.8809 8.0850
angles (deg): 90.00 90.00 120.00
Fractional coordinates of all 3 atoms:
Cl1 0.0000 0.0000 0.9196
Re1 0.6667 0.3333 0.3941
Ta1 0.3333 0.6667 0.6862

calculated total energy	-25.40	eV per cell
formation energy from raw total energies	0.25	eV per atom
SG	P3m1
Fermi-level density of states	4.209	states/eV per cell
distance to the lowest polymorph of the same formula	8	meV per atom